Density functional theory data (GGA+U) for BaCoNO after structural relaxation.

**Electronic total energy**: -5.697 eV per atom
**Total moment**: 10.71 μB/cell

```
data_BaCoNO
_chemical_formula_sum 'Ba4 Co4 N4 O4'
_space_group_name_H-M_alt 'C m m e'
_space_group_IT_number 67
_space_group_name_Hall '-C 2a 2'
_cell_length_a 5.629
_cell_length_b 5.657
_cell_length_c 9.200
_cell_angle_alpha 90.00
_cell_angle_beta 90.00
_cell_angle_gamma 90.00
loop_
_atom_site_label
_atom_site_fract_x
_atom_site_fract_y
_atom_site_fract_z
_atom_site_occupancy
Ba1 0.000 0.250 0.160 1
Co1 0.250 0.000 0.500 1
N1 0.000 0.250 0.501 1
O1 0.250 0.000 0.000 1
```